First-principles (meta-GGA SCAN) data for a PBEsol-optimized structure of In2POs, as listed in Alexandria.

Cell and atoms, written as CIF:
```
data_In2POs
_chemical_formula_sum 'In2 P1 Os1'
_cell_length_a 2.9777
_cell_length_b 4.5295
_cell_length_c 6.3314
_cell_angle_alpha 110.96
_cell_angle_beta 103.60
_cell_angle_gamma 90.00
_space_group_name_H-M_alt 'P 1'
_space_group_IT_number 1
loop_
_space_group_symop_operation_xyz
'x,y,z'
loop_
_atom_site_label
_atom_site_type_symbol
_atom_site_fract_x
_atom_site_fract_y
_atom_site_fract_z
_atom_site_occupancy
In1 In 0.9924 0.9924 0.9848 1
In2 In 0.7983 0.2983 0.5966 1
Os1 Os 0.5265 0.5265 0.0530 1
P1 P 0.1828 0.6828 0.3656 1
```

Output
- formation energy (eV per atom) = 0.166
- total energy (Ha/atom) = -1.363
- space-group type = No. 44
- V (Å³ per cell) = 77
- N(E_F) (states/eV per atom) = 0.540
- ρ (g cm⁻³) = 9.7


First-principles (meta-GGA SCAN) data for a PBEsol-optimized structure of Tl2NiMo, as listed in Alexandria.

Cell and atoms, written as CIF:
```
data_Tl2NiMo
_chemical_formula_sum 'Tl2 Ni1 Mo1'
_cell_length_a 3.0616
_cell_length_b 3.0616
_cell_length_c 8.8477
_cell_angle_alpha 80.04
_cell_angle_beta 80.04
_cell_angle_gamma 60.00
_space_group_name_H-M_alt 'P 1'
_space_group_IT_number 1
loop_
_space_group_symop_operation_xyz
'x,y,z'
loop_
_atom_site_label
_atom_site_type_symbol
_atom_site_fract_x
_atom_site_fract_y
_atom_site_fract_z
_atom_site_occupancy
Mo1 Mo 0.5000 0.5000 0.5000 1
Ni1 Ni 0.0000 0.0000 0.0000 1
Tl1 Tl 0.2563 0.2563 0.2311 1
Tl2 Tl 0.7437 0.7437 0.7689 1
```

Output
- energy above the most stable polymorph in this dataset (eV/atom) = 0.000
- formation energy (eV per atom) = 0.657
- total energy (Ha/atom) = -1.774
- space-group type = No. 166
- V (Å³ per cell) = 70
- N(E_F) (states/eV per atom) = 0.437
- ρ (g cm⁻³) = 13.3


First-principles (meta-GGA SCAN) data for a PBEsol-optimized structure of CrSb2TeSe, as listed in Alexandria.

Cell and atoms, written as CIF:
```
data_CrSb2TeSe
_chemical_formula_sum 'Cr1 Sb2 Te1 Se1'
_cell_length_a 4.8148
_cell_length_b 4.9834
_cell_length_c 4.9834
_cell_angle_alpha 90.00
_cell_angle_beta 90.00
_cell_angle_gamma 90.00
_space_group_name_H-M_alt 'P 1'
_space_group_IT_number 1
loop_
_space_group_symop_operation_xyz
'x,y,z'
loop_
_atom_site_label
_atom_site_type_symbol
_atom_site_fract_x
_atom_site_fract_y
_atom_site_fract_z
_atom_site_occupancy
Sb1 Sb 0.0000 0.0000 0.5000 1
Sb2 Sb 0.0000 0.5000 0.0000 1
Te1 Te 0.5000 0.0000 0.0000 1
Se1 Se 0.5000 0.5000 0.5000 1
Cr1 Cr 0.0000 0.0000 0.0000 1
```

Output
- formation energy (no corrections) (eV per atom) = 0.411
- total energy (Ha/atom) = -1.089
- space-group type = No. 123
- V (Å³ per cell) = 120
- N(E_F) (states/eV per atom) = 0.744
- ρ (g cm⁻³) = 7.0


First-principles (meta-GGA SCAN) data for a PBEsol-optimized structure of ScTeNF2, as listed in Alexandria.

Cell and atoms, written as CIF:
```
data_ScTeNF2
_chemical_formula_sum 'Sc1 Te1 N1 F2'
_cell_length_a 3.9021
_cell_length_b 3.9021
_cell_length_c 4.7699
_cell_angle_alpha 90.00
_cell_angle_beta 90.00
_cell_angle_gamma 90.00
_space_group_name_H-M_alt 'P 1'
_space_group_IT_number 1
loop_
_space_group_symop_operation_xyz
'x,y,z'
loop_
_atom_site_label
_atom_site_type_symbol
_atom_site_fract_x
_atom_site_fract_y
_atom_site_fract_z
_atom_site_occupancy
Sc1 Sc 0.0000 0.0000 0.0000 1
N1 N 0.0000 0.0000 0.5000 1
Te1 Te 0.5000 0.5000 0.5000 1
F1 F 0.0000 0.5000 0.0000 1
F2 F 0.5000 0.0000 0.0000 1
```

Output
- formation energy (no corrections) (eV per atom) = -1.745
- total energy (Ha/atom) = -0.563
- space-group type = No. 123
- V (Å³ per cell) = 73
- N(E_F) (states/eV per atom) = 0.392
- ρ (g cm⁻³) = 5.1


First-principles (meta-GGA SCAN) data for a PBEsol-optimized structure of Y3Tc, as listed in Alexandria.

Cell and atoms, written as CIF:
```
data_Y3Tc
_chemical_formula_sum 'Y12 Tc4'
_cell_length_a 6.1844
_cell_length_b 7.3388
_cell_length_c 9.0616
_cell_angle_alpha 90.00
_cell_angle_beta 90.00
_cell_angle_gamma 90.00
_space_group_name_H-M_alt 'P 1'
_space_group_IT_number 1
loop_
_space_group_symop_operation_xyz
'x,y,z'
loop_
_atom_site_label
_atom_site_type_symbol
_atom_site_fract_x
_atom_site_fract_y
_atom_site_fract_z
_atom_site_occupancy
Tc1 Tc 0.5416 0.1143 0.7500 1
Tc2 Tc 0.0416 0.3857 0.2500 1
Tc3 Tc 0.9584 0.6143 0.7500 1
Tc4 Tc 0.4584 0.8857 0.2500 1
Y1 Y 0.8712 0.0435 0.2500 1
Y2 Y 0.3419 0.1767 0.0637 1
Y3 Y 0.3419 0.1767 0.4363 1
Y4 Y 0.8419 0.3233 0.5637 1
Y5 Y 0.8419 0.3233 0.9363 1
Y6 Y 0.3712 0.4565 0.7500 1
Y7 Y 0.6288 0.5435 0.2500 1
Y8 Y 0.1581 0.6767 0.0637 1
Y9 Y 0.1581 0.6767 0.4363 1
Y10 Y 0.6581 0.8233 0.5637 1
Y11 Y 0.6581 0.8233 0.9363 1
Y12 Y 0.1288 0.9565 0.7500 1
```

Output
- formation energy (eV per atom) = -0.113
- total energy (Ha/atom) = -1.094
- space-group type = No. 62
- V (Å³ per cell) = 411
- N(E_F) (states/eV per atom) = 0.807
- ρ (g cm⁻³) = 5.9


First-principles (meta-GGA SCAN) data for a PBEsol-optimized structure of Zr17Cd12, as listed in Alexandria.

Cell and atoms, written as CIF:
```
data_Zr17Cd12
_chemical_formula_sum 'Zr17 Cd12'
_cell_length_a 9.2347
_cell_length_b 9.2347
_cell_length_c 9.2347
_cell_angle_alpha 109.47
_cell_angle_beta 109.47
_cell_angle_gamma 109.47
_space_group_name_H-M_alt 'P 1'
_space_group_IT_number 1
loop_
_space_group_symop_operation_xyz
'x,y,z'
loop_
_atom_site_label
_atom_site_type_symbol
_atom_site_fract_x
_atom_site_fract_y
_atom_site_fract_z
_atom_site_occupancy
Cd1 Cd 0.1811 0.3694 0.3694 1
Cd2 Cd 0.8189 0.1883 0.1883 1
Cd3 Cd 0.0000 0.8117 0.6306 1
Cd4 Cd 0.0000 0.6306 0.8117 1
Cd5 Cd 0.3694 0.1811 0.3694 1
Cd6 Cd 0.1883 0.8189 0.1883 1
Cd7 Cd 0.6306 0.0000 0.8117 1
Cd8 Cd 0.8117 0.0000 0.6306 1
Cd9 Cd 0.3694 0.3694 0.1811 1
Cd10 Cd 0.1883 0.1883 0.8189 1
Cd11 Cd 0.8117 0.6306 0.0000 1
Cd12 Cd 0.6306 0.8117 0.0000 1
Zr1 Zr 0.7187 0.4039 0.4039 1
Zr2 Zr 0.2813 0.6852 0.6852 1
Zr3 Zr 0.0000 0.3148 0.5961 1
Zr4 Zr 0.0000 0.5961 0.3148 1
Zr5 Zr 0.4039 0.7187 0.4039 1
Zr6 Zr 0.6852 0.2813 0.6852 1
Zr7 Zr 0.5961 0.0000 0.3148 1
Zr8 Zr 0.3148 0.0000 0.5961 1
Zr9 Zr 0.4039 0.4039 0.7187 1
Zr10 Zr 0.6852 0.6852 0.2813 1
Zr11 Zr 0.3148 0.5961 0.0000 1
Zr12 Zr 0.5961 0.3148 0.0000 1
Zr13 Zr 0.6457 0.6457 0.6457 1
Zr14 Zr 0.3543 0.0000 0.0000 1
Zr15 Zr 0.0000 0.0000 0.3543 1
Zr16 Zr 0.0000 0.3543 0.0000 1
Zr17 Zr 0.0000 0.0000 0.0000 1
```

Output
- formation energy (eV per atom) = -0.114
- total energy (Ha/atom) = -1.128
- space-group type = No. 217
- V (Å³ per cell) = 606
- N(E_F) (states/eV per atom) = 1.135
- ρ (g cm⁻³) = 7.9


First-principles (meta-GGA SCAN) data for a PBEsol-optimized structure of VRh, as listed in Alexandria.

Cell and atoms, written as CIF:
```
data_VRh
_chemical_formula_sum 'V2 Rh2'
_cell_length_a 2.7478
_cell_length_b 4.3878
_cell_length_c 4.3878
_cell_angle_alpha 97.72
_cell_angle_beta 90.00
_cell_angle_gamma 90.00
_space_group_name_H-M_alt 'P 1'
_space_group_IT_number 1
loop_
_space_group_symop_operation_xyz
'x,y,z'
loop_
_atom_site_label
_atom_site_type_symbol
_atom_site_fract_x
_atom_site_fract_y
_atom_site_fract_z
_atom_site_occupancy
Rh1 Rh 0.5000 0.2136 0.7864 1
Rh2 Rh 0.5000 0.7864 0.2136 1
V1 V 0.0000 0.2961 0.2961 1
V2 V 0.0000 0.7039 0.7039 1
```

Output
- formation energy (eV per atom) = -0.504
- total energy (Ha/atom) = -0.960
- space-group type = No. 65
- V (Å³ per cell) = 52
- N(E_F) (states/eV per atom) = 0.671
- ρ (g cm⁻³) = 9.7


First-principles (meta-GGA SCAN) data for a PBEsol-optimized structure of MgSi2Tc, as listed in Alexandria.

Cell and atoms, written as CIF:
```
data_MgSi2Tc
_chemical_formula_sum 'Mg1 Si2 Tc1'
_cell_length_a 3.3000
_cell_length_b 3.9756
_cell_length_c 4.2452
_cell_angle_alpha 90.00
_cell_angle_beta 90.00
_cell_angle_gamma 90.00
_space_group_name_H-M_alt 'P 1'
_space_group_IT_number 1
loop_
_space_group_symop_operation_xyz
'x,y,z'
loop_
_atom_site_label
_atom_site_type_symbol
_atom_site_fract_x
_atom_site_fract_y
_atom_site_fract_z
_atom_site_occupancy
Mg1 Mg 0.0000 0.5000 0.5000 1
Si1 Si 0.0000 0.0000 0.0000 1
Si2 Si 0.5000 0.0000 0.5000 1
Tc1 Tc 0.5000 0.5000 0.0000 1
```

Output
- formation energy (no corrections) (eV per atom) = 0.100
- total energy (Ha/atom) = -0.548
- space-group type = No. 47
- V (Å³ per cell) = 56
- N(E_F) (states/eV per atom) = 0.398
- ρ (g cm⁻³) = 5.3


First-principles (meta-GGA SCAN) data for a PBEsol-optimized structure of CuSi2Hg2, as listed in Alexandria.

Cell and atoms, written as CIF:
```
data_CuSi2Hg2
_chemical_formula_sum 'Cu1 Si2 Hg2'
_cell_length_a 3.3764
_cell_length_b 3.3764
_cell_length_c 8.3411
_cell_angle_alpha 101.68
_cell_angle_beta 101.68
_cell_angle_gamma 90.00
_space_group_name_H-M_alt 'P 1'
_space_group_IT_number 1
loop_
_space_group_symop_operation_xyz
'x,y,z'
loop_
_atom_site_label
_atom_site_type_symbol
_atom_site_fract_x
_atom_site_fract_y
_atom_site_fract_z
_atom_site_occupancy
Si1 Si 0.2500 0.7500 0.5000 1
Si2 Si 0.7500 0.2500 0.5000 1
Hg1 Hg 0.4067 0.4067 0.8134 1
Hg2 Hg 0.5933 0.5933 0.1866 1
Cu1 Cu 0.0000 0.0000 0.0000 1
```

Output
- formation energy (no corrections) (eV per atom) = 0.439
- total energy (Ha/atom) = -1.245
- space-group type = No. 139
- V (Å³ per cell) = 91
- N(E_F) (states/eV per atom) = 0.292
- ρ (g cm⁻³) = 9.5


First-principles (meta-GGA SCAN) data for a PBEsol-optimized structure of Sb3IrW, as listed in Alexandria.

Cell and atoms, written as CIF:
```
data_Sb3IrW
_chemical_formula_sum 'Sb3 Ir1 W1'
_cell_length_a 5.0677
_cell_length_b 5.0677
_cell_length_c 5.0677
_cell_angle_alpha 90.00
_cell_angle_beta 90.00
_cell_angle_gamma 90.00
_space_group_name_H-M_alt 'P 1'
_space_group_IT_number 1
loop_
_space_group_symop_operation_xyz
'x,y,z'
loop_
_atom_site_label
_atom_site_type_symbol
_atom_site_fract_x
_atom_site_fract_y
_atom_site_fract_z
_atom_site_occupancy
Sb1 Sb 0.0000 0.5000 0.0000 1
Sb2 Sb 0.0000 0.0000 0.5000 1
Sb3 Sb 0.5000 0.0000 0.0000 1
Ir1 Ir 0.5000 0.5000 0.5000 1
W1 W 0.0000 0.0000 0.0000 1
```

Output
- formation energy (no corrections) (eV per atom) = 1.449
- total energy (Ha/atom) = -1.803
- space-group type = No. 221
- V (Å³ per cell) = 130
- N(E_F) (states/eV per atom) = 1.306
- ρ (g cm⁻³) = 9.5


First-principles (meta-GGA SCAN) data for a PBEsol-optimized structure of PWSe4, as listed in Alexandria.

Cell and atoms, written as CIF:
```
data_PWSe4
_chemical_formula_sum 'P1 W1 Se4'
_cell_length_a 5.3832
_cell_length_b 5.3832
_cell_length_c 5.3832
_cell_angle_alpha 60.00
_cell_angle_beta 60.00
_cell_angle_gamma 60.00
_space_group_name_H-M_alt 'P 1'
_space_group_IT_number 1
loop_
_space_group_symop_operation_xyz
'x,y,z'
loop_
_atom_site_label
_atom_site_type_symbol
_atom_site_fract_x
_atom_site_fract_y
_atom_site_fract_z
_atom_site_occupancy
P1 P 0.0000 0.0000 0.0000 1
Se1 Se 0.3758 0.3758 0.3758 1
Se2 Se 0.3758 0.3758 0.8727 1
Se3 Se 0.8727 0.3758 0.3758 1
Se4 Se 0.3758 0.8727 0.3758 1
W1 W 0.7500 0.7500 0.7500 1
```

Output
- formation energy (no corrections) (eV per atom) = 1.632
- total energy (Ha/atom) = -0.922
- space-group type = No. 216
- V (Å³ per cell) = 110
- N(E_F) (states/eV per atom) = 0.806
- ρ (g cm⁻³) = 8.0


First-principles (meta-GGA SCAN) data for a PBEsol-optimized structure of TcHg4Au, as listed in Alexandria.

Cell and atoms, written as CIF:
```
data_TcHg4Au
_chemical_formula_sum 'Tc1 Hg4 Au1'
_cell_length_a 5.5691
_cell_length_b 5.5691
_cell_length_c 5.5691
_cell_angle_alpha 60.00
_cell_angle_beta 60.00
_cell_angle_gamma 60.00
_space_group_name_H-M_alt 'P 1'
_space_group_IT_number 1
loop_
_space_group_symop_operation_xyz
'x,y,z'
loop_
_atom_site_label
_atom_site_type_symbol
_atom_site_fract_x
_atom_site_fract_y
_atom_site_fract_z
_atom_site_occupancy
Au1 Au 0.0000 0.0000 0.0000 1
Hg1 Hg 0.8745 0.3752 0.3752 1
Hg2 Hg 0.3752 0.3752 0.3752 1
Hg3 Hg 0.3752 0.3752 0.8745 1
Hg4 Hg 0.3752 0.8745 0.3752 1
Tc1 Tc 0.7500 0.7500 0.7500 1
```

Output
- formation energy (eV per atom) = 0.805
- total energy (Ha/atom) = -2.279
- space-group type = No. 216
- V (Å³ per cell) = 122
- N(E_F) (states/eV per atom) = 0.553
- ρ (g cm⁻³) = 14.9